# 1
# Cr2Cu2Ni15, optimized geometry, DFT PBE
data_Cr2Cu2Ni15
_cell_length_a 8.1058
_cell_length_b 8.1058
_cell_length_c 12.0090
_cell_angle_alpha 90.00
_cell_angle_beta 90.00
_cell_angle_gamma 120.00
_space_group_name_H-M_alt 'R -3 m'
_space_group_IT_number 166
_space_group_name_Hall '-R 3 2"'
loop_
_atom_site_label
_atom_site_fract_x
_atom_site_fract_y
_atom_site_fract_z
_atom_site_occupancy
Cr1 0.0000 0.0000 0.1601 1
Cu1 0.0000 0.0000 0.3989 1
Ni1 0.0000 0.3055 0.5000 1
Ni2 0.0000 0.5000 0.0000 1
Ni3 0.0063 0.5032 0.6530 1
# Total moment   16.1 μB/f.u.
# V   12.0 Å³ per atom
# E_form   4.1 kcal/mol of atoms
# VASP energy   -0.42860 Ry/atom

---

# 2
# CrCuNi4, optimized geometry, DFT PBE
data_CrCuNi4
_cell_length_a 10.817
_cell_length_b 6.403
_cell_length_c 4.268
_cell_angle_alpha 90.00
_cell_angle_beta 105.34
_cell_angle_gamma 90.00
_space_group_name_H-M_alt 'C 1 2/m 1'
_space_group_IT_number 12
_space_group_name_Hall '-C 2y'
loop_
_atom_site_label
_atom_site_fract_x
_atom_site_fract_y
_atom_site_fract_z
_atom_site_occupancy
Cr1 0.056 0.000 0.236 1
Cu1 0.203 0.500 0.626 1
Ni1 0.000 0.301 0.500 1
Ni2 0.128 0.311 0.073 1
Ni3 0.172 0.000 0.785 1
# Total moment   0.0 μB/f.u.
# V   11.9 Å³ per atom
# E_form   6.2 kcal/mol of atoms
# VASP energy   -0.43165 Ry/atom